Ce6As3S2Cl | GGA-PBE | relaxed

Summary:
Energy relative to the elements, uncorrected ... -1911 kJ/mol of formula units
Symmetry ... No. 12
Total DFT energy (no corrections) ... -79.459 eV per cell
Fermi-level density of states ... 2.68 states/eV per atom

Cell lengths 9.2020, 9.2020, 8.2260 Å; angles 101.99, 101.99, 26.05 degrees
Element x y z (fractional)
Ce: 0.0034 0.0034 0.2531
Ce: 0.3311 0.3311 0.4213
Ce: 0.3319 0.3319 0.9078
Ce: 0.6681 0.6681 0.0922
Ce: 0.6689 0.6689 0.5787
Ce: 0.9966 0.9966 0.7469
As: 0.1649 0.1649 0.8341
As: 0.5000 0.5000 0.5000
As: 0.8351 0.8351 0.1659
S: 0.1673 0.1673 0.3344
S: 0.8327 0.8327 0.6656
Cl: 0.5000 0.5000 0.0000


CeAsS4Cl | GGA-PBE | relaxed

Summary:
Energy relative to the elements, uncorrected ... -532 kJ/mol of formula units
Symmetry ... No. 12
Total DFT energy (no corrections) ... -68.899 eV per cell
Fermi-level density of states ... 0.32 states/eV per atom

Cell lengths 7.0486, 7.0486, 8.0302 Å; angles 101.27, 101.27, 78.27 degrees
Element x y z (fractional)
Ce: 0.2109 0.2109 0.1216
Ce: 0.7891 0.7891 0.8784
As: 0.3560 0.3560 0.7220
As: 0.6440 0.6440 0.2780
S: 0.1467 0.5073 0.9066
S: 0.2086 0.2086 0.4846
S: 0.4529 0.4529 0.3178
S: 0.4927 0.8533 0.0934
S: 0.5073 0.1467 0.9066
S: 0.5471 0.5471 0.6822
S: 0.7914 0.7914 0.5154
S: 0.8533 0.4927 0.0934
Cl: 0.0255 0.0255 0.8101
Cl: 0.9745 0.9745 0.1899


Ce4As2SCl | GGA-PBE | relaxed

Summary:
Energy relative to the elements, uncorrected ... -1241 kJ/mol of formula units
Symmetry ... No. 10
Total DFT energy (no corrections) ... -51.873 eV per cell
Fermi-level density of states ... 2.62 states/eV per atom

Cell lengths 7.0697, 4.1527, 7.2040 Å; angles 90.00, 109.79, 90.00 degrees
Element x y z (fractional)
Ce: 0.2429 0.0000 0.2420
Ce: 0.2465 0.5000 0.7547
Ce: 0.7535 0.5000 0.2453
Ce: 0.7571 0.0000 0.7580
As: 0.5000 0.0000 0.0000
As: 0.5000 0.5000 0.5000
S: 0.0000 0.5000 0.0000
Cl: 0.0000 0.0000 0.5000


Ce4AsS2Cl | GGA-PBE | relaxed

Summary:
Energy relative to the elements, uncorrected ... -1354 kJ/mol of formula units
Symmetry ... No. 10
Total DFT energy (no corrections) ... -52.524 eV per cell
Fermi-level density of states ... 2.54 states/eV per atom

Cell lengths 7.0124, 4.0836, 7.1039 Å; angles 90.00, 109.53, 90.00 degrees
Element x y z (fractional)
Ce: 0.2439 0.0000 0.2353
Ce: 0.2531 0.5000 0.7631
Ce: 0.7469 0.5000 0.2369
Ce: 0.7561 0.0000 0.7647
As: 0.0000 0.0000 0.5000
S: 0.0000 0.5000 0.0000
S: 0.5000 0.0000 0.0000
Cl: 0.5000 0.5000 0.5000


Ce4As2SeCl | GGA-PBE | relaxed

Summary:
Energy relative to the elements, uncorrected ... -1203 kJ/mol of formula units
Symmetry ... No. 10
Total DFT energy (no corrections) ... -50.837 eV per cell
Fermi-level density of states ... 2.91 states/eV per atom

Cell lengths 7.1968, 4.2041, 7.2703 Å; angles 90.00, 109.74, 90.00 degrees
Element x y z (fractional)
Ce: 0.2454 0.0000 0.2478
Ce: 0.2459 0.5000 0.7494
Ce: 0.7541 0.5000 0.2506
Ce: 0.7546 0.0000 0.7522
As: 0.0000 0.0000 0.5000
As: 0.0000 0.5000 0.0000
Se: 0.5000 0.0000 0.0000
Cl: 0.5000 0.5000 0.5000


Ce6As2Se3Cl | GGA-PBE | relaxed

Summary:
Energy relative to the elements, uncorrected ... -1897 kJ/mol of formula units
Symmetry ... No. 12
Total DFT energy (no corrections) ... -76.868 eV per cell
Fermi-level density of states ... 2.86 states/eV per atom

Cell lengths 9.3694, 9.3694, 8.3541 Å; angles 103.29, 103.29, 25.88 degrees
Element x y z (fractional)
Ce: 0.9999 0.9999 0.2496
Ce: 0.0001 0.0001 0.7504
Ce: 0.3319 0.3319 0.4196
Ce: 0.3340 0.3340 0.9154
Ce: 0.6660 0.6660 0.0846
Ce: 0.6681 0.6681 0.5804
As: 0.1654 0.1654 0.3309
As: 0.8346 0.8346 0.6691
Se: 0.1678 0.1678 0.8331
Se: 0.5000 0.5000 0.5000
Se: 0.8322 0.8322 0.1669
Cl: 0.5000 0.5000 0.0000


Ce3TeAsCl | GGA-PBE | relaxed

Summary:
Energy relative to the elements, uncorrected ... -738 kJ/mol of formula units
Symmetry ... No. 11
Total DFT energy (no corrections) ... -70.182 eV per cell
Fermi-level density of states ... 3.43 states/eV per atom

Cell lengths 8.6635, 4.3038, 9.5642 Å; angles 90.00, 100.59, 90.00 degrees
Element x y z (fractional)
Ce: 0.0769 0.2500 0.3451
Ce: 0.2150 0.2500 0.9812
Ce: 0.3853 0.7500 0.6246
Ce: 0.6147 0.2500 0.3754
Ce: 0.7850 0.7500 0.0188
Ce: 0.9231 0.7500 0.6549
Te: 0.3276 0.7500 0.2765
Te: 0.6724 0.2500 0.7235
As: 0.1566 0.2500 0.6569
As: 0.8434 0.7500 0.3431
Cl: 0.4009 0.7500 0.9150
Cl: 0.5991 0.2500 0.0850


Ce2Co5As3 | GGA-PBE | relaxed

Summary:
Symmetry ... No. 36
Total DFT energy (no corrections) ... -132.202 eV per cell
Fermi-level density of states ... 0.87 states/eV per atom
E_form ... -0.476 eV/atom

Cell lengths 11.8711, 11.8711, 6.4482 Å; angles 90.00, 90.00, 160.14 degrees
Element x y z (fractional)
Ce: 0.0135 0.9865 0.5000
Ce: 0.3253 0.6747 0.5120
Ce: 0.6747 0.3253 0.0120
Ce: 0.9865 0.0135 0.0000
Co: 0.1061 0.8939 0.1993
Co: 0.2068 0.7932 0.3083
Co: 0.2096 0.7904 0.6976
Co: 0.3714 0.6286 0.9969
Co: 0.4489 0.5511 0.3107
Co: 0.5511 0.4489 0.8107
Co: 0.6286 0.3714 0.4969
Co: 0.7904 0.2096 0.1976
Co: 0.7932 0.2068 0.8083
Co: 0.8939 0.1061 0.6993
As: 0.1097 0.8903 0.7774
As: 0.2700 0.7300 0.0055
As: 0.4437 0.5563 0.7134
As: 0.5563 0.4437 0.2134
As: 0.7300 0.2700 0.5055
As: 0.8903 0.1097 0.2774


Ce2CoAs3 | GGA-PBE | relaxed

Summary:
Symmetry ... No. 71
Total DFT energy (no corrections) ... -37.521 eV per cell
Fermi-level density of states ... 1.51 states/eV per atom
E_form ... -0.766 eV/atom

Cell lengths 6.5737, 6.5737, 6.5737 Å; angles 144.19, 125.72, 66.75 degrees
Element x y z (fractional)
Ce: 0.1846 0.1846 0.0000
Ce: 0.8154 0.8154 0.0000
Co: 0.5000 0.5000 0.0000
As: 0.0000 0.5000 0.5000
As: 0.3729 0.8729 0.5000
As: 0.6271 0.1271 0.5000


CeCo5As3 | GGA-PBE | relaxed

Summary:
Symmetry ... No. 63
Total DFT energy (no corrections) ... -119.313 eV per cell
Fermi-level density of states ... 1.08 states/eV per atom
E_form ... -0.472 eV/atom

Cell lengths 6.2268, 6.2268, 11.7077 Å; angles 90.00, 90.00, 145.14 degrees
Element x y z (fractional)
Ce: 0.1635 0.8365 0.7500
Ce: 0.8365 0.1635 0.2500
Co: 0.0000 0.0000 0.0000
Co: 0.0000 0.0000 0.5000
Co: 0.1943 0.8057 0.0691
Co: 0.1943 0.8057 0.4309
Co: 0.4470 0.5530 0.6416
Co: 0.4470 0.5530 0.8584
Co: 0.5530 0.4470 0.1416
Co: 0.5530 0.4470 0.3584
Co: 0.8057 0.1943 0.5691
Co: 0.8057 0.1943 0.9309
As: 0.1080 0.8920 0.2500
As: 0.3805 0.6195 0.0444
As: 0.3805 0.6195 0.4556
As: 0.6195 0.3805 0.5444
As: 0.6195 0.3805 0.9556
As: 0.8920 0.1080 0.7500


Ce2Co12As7 | GGA-PBE | relaxed

Summary:
Symmetry ... No. 174
Total DFT energy (no corrections) ... -139.298 eV per cell
Fermi-level density of states ... 0.93 states/eV per atom
E_form ... -0.458 eV/atom

Cell lengths 9.3724, 9.3724, 3.7710 Å; angles 90.00, 90.00, 120.00 degrees
Element x y z (fractional)
Ce: 0.0000 0.0000 0.0000
Ce: 0.3333 0.6667 0.5000
Co: 0.0437 0.2787 0.5000
Co: 0.1055 0.7112 0.0000
Co: 0.2349 0.9563 0.5000
Co: 0.2888 0.3944 0.0000
Co: 0.3900 0.1827 0.0000
Co: 0.5443 0.4376 0.5000
Co: 0.5624 0.1068 0.5000
Co: 0.6056 0.8945 0.0000
Co: 0.7213 0.7651 0.5000
Co: 0.7926 0.6100 0.0000
Co: 0.8173 0.2074 0.0000
Co: 0.8932 0.4557 0.5000
As: 0.0678 0.4447 0.0000
As: 0.2655 0.2273 0.5000
As: 0.3769 0.9322 0.0000
As: 0.5553 0.6231 0.0000
As: 0.6667 0.3333 0.0000
As: 0.7727 0.0382 0.5000
As: 0.9618 0.7345 0.5000


CeCo2As2 | GGA-PBE | relaxed

Summary:
Symmetry ... No. 139
Total DFT energy (no corrections) ... -33.115 eV per cell
Fermi-level density of states ... 0.89 states/eV per atom
E_form ... -0.734 eV/atom

Cell lengths 5.8106, 5.8106, 5.8106 Å; angles 139.42, 139.42, 58.73 degrees
Element x y z (fractional)
Ce: 0.0000 0.0000 0.0000
Co: 0.2500 0.7500 0.5000
Co: 0.7500 0.2500 0.5000
As: 0.3676 0.3676 0.0000
As: 0.6324 0.6324 0.0000


Among the records above, which one has the lowest total DFT energy (no corrections)? Ce2Co12As7


Which value of Fermi-level density of states does entry 5 give? 2.91 states/eV per atom


Look up the Fermi-level density of states of the seventh one. 3.43 states/eV per atom


The lowest total DFT energy (no corrections) belongs to which entry? Ce2Co12As7